Record 1
Here is a relaxed Mg5Tl4Sn crystal from Alexandria. Energies are from PBE.

Cell lengths 3.6743, 3.6743, 18.3488 Å; angles 90.00, 90.00, 90.00 degrees
Closest atoms and distances in Å follow each position.
Sites, in units of the cell vectors:
1 Mg 0.0000 0.0000 0.0000  8 Tl 3.18
2 Mg 0.0000 0.0000 0.2012  8 Tl 3.18-3.19
3 Mg 0.0000 0.0000 0.4025  4 Sn 3.15, 4 Tl 3.19
4 Mg 0.0000 0.0000 0.5975  4 Sn 3.15, 4 Tl 3.19
5 Mg 0.0000 0.0000 0.7988  8 Tl 3.18-3.19
6 Tl 0.5000 0.5000 0.1001  8 Mg 3.18-3.19
7 Tl 0.5000 0.5000 0.3015  8 Mg 3.18-3.19
8 Tl 0.5000 0.5000 0.6985  8 Mg 3.18-3.19
9 Tl 0.5000 0.5000 0.8999  8 Mg 3.18-3.19
10 Sn 0.5000 0.5000 0.5000  8 Mg 3.15

Summary:
Fermi-level density of states   4.32 states/eV per cell
Formation energy   -0.5 eV/f.u.
SG   P4/mmm (123)

=====

Record 2
Here is a relaxed YSn2Pt crystal from Alexandria. Energies are from PBE.

Cell lengths 11.0107, 11.0107, 11.0107 Å; angles 157.31, 157.31, 32.31 degrees
Closest atoms and distances in Å follow each position.
Sites, in units of the cell vectors:
1 Y 0.0000 0.0000 0.0000  4 Pt 3.06, 4 Sn 3.10
2 Y 0.7500 0.2500 0.5000  4 Pt 3.06, 4 Sn 3.10
3 Sn 0.1497 0.6250 0.0247  4 Sn 2.92-3.22, 2 Pt 3.02, 2 Y 3.10
4 Sn 0.3750 0.3997 0.5247  4 Sn 2.92-3.22, 2 Pt 3.02, 2 Y 3.10
5 Sn 0.6003 0.1250 0.9753  4 Sn 2.92-3.22, 2 Pt 3.02, 2 Y 3.10
6 Sn 0.8750 0.8503 0.4753  4 Sn 2.92-3.22, 2 Pt 3.02, 2 Y 3.10
7 Pt 0.2500 0.7500 0.5000  4 Sn 3.02, 4 Y 3.06
8 Pt 0.5000 0.5000 0.0000  4 Sn 3.02, 4 Y 3.06

Summary:
Fermi-level density of states   3.88 states/eV per cell
Formation energy   -1.8 eV/f.u.
SG   I-42d (122)

=====

Record 3
Here is a relaxed CsLiPdPb2 crystal from Alexandria. Energies are from PBE.

Cell lengths 5.4399, 5.4399, 5.5180 Å; angles 90.00, 90.00, 90.00 degrees
Closest atoms and distances in Å follow each position.
Sites, in units of the cell vectors:
1 Cs 0.0000 0.0000 0.0000  4 Li 3.85, 8 Pb 3.87
2 Li 0.5000 0.5000 0.0000  2 Pd 2.76
3 Pd 0.5000 0.5000 0.5000  4 Pb 2.72, 2 Li 2.76
4 Pb 0.0000 0.5000 0.5000  2 Pd 2.72
5 Pb 0.5000 0.0000 0.5000  2 Pd 2.72

Summary:
Fermi-level density of states   4.56 states/eV per cell
Formation energy   -0.3 eV/f.u.
SG   P4/mmm (123)

=====

Record 4
Here is a relaxed TbTh4Sc5 crystal from Alexandria. Energies are from PBE.

Cell lengths 3.4618, 3.4618, 23.7024 Å; angles 90.00, 90.00, 90.00 degrees
Closest atoms and distances in Å follow each position.
Sites, in units of the cell vectors:
1 Tb 0.0000 0.0000 0.0000  8 Sc 3.42, 4 Tb 3.46
2 Th 0.0000 0.0000 0.1995  8 Sc 3.38-3.41, 4 Th 3.46
3 Th 0.0000 0.0000 0.3998  8 Sc 3.41, 4 Th 3.46
4 Th 0.0000 0.0000 0.6002  8 Sc 3.41, 4 Th 3.46
5 Th 0.0000 0.0000 0.8005  8 Sc 3.38-3.41, 4 Th 3.46
6 Sc 0.5000 0.5000 0.1010  4 Th 3.38, 4 Tb 3.42, 4 Sc 3.46
7 Sc 0.5000 0.5000 0.2996  8 Th 3.41, 4 Sc 3.46
8 Sc 0.5000 0.5000 0.5000  8 Th 3.41, 4 Sc 3.46
9 Sc 0.5000 0.5000 0.7004  8 Th 3.41, 4 Sc 3.46
10 Sc 0.5000 0.5000 0.8990  4 Th 3.38, 4 Tb 3.42, 4 Sc 3.46

Summary:
Fermi-level density of states   12.75 states/eV per cell
Formation energy   0.3 eV/f.u.
SG   P4/mmm (123)

=====

Record 5
Here is a relaxed DyB2O4 crystal from Alexandria. Energies are from PBE.

Cell lengths 5.1672, 5.1672, 5.1672 Å; angles 98.85, 98.85, 133.82 degrees
Closest atoms and distances in Å follow each position.
Sites, in units of the cell vectors:
1 Dy 0.0000 0.0000 0.0000  4 O 2.27
2 B 0.2500 0.7500 0.5000  4 O 1.49
3 B 0.7500 0.2500 0.5000  4 O 1.49
4 O 0.0032 0.3381 0.3414  2 B 1.49
5 O 0.3381 0.9968 0.3349  2 B 1.49
6 O 0.6619 0.0032 0.6651  2 B 1.49
7 O 0.9968 0.6619 0.6586  2 B 1.49

Summary:
Formation energy (no corrections)   -2.47 eV per atom
Fermi-level density of states   1.08 states/eV per cell
Distance to the lowest polymorph of the same formula   0.0 meV per atom
SG   I4/m (87)

=====

Record 6
Here is a relaxed CaCo3Tc crystal from Alexandria. Energies are from PBE.

Cell lengths 4.5091, 4.5091, 4.5091 Å; angles 90.00, 90.00, 90.00 degrees
Closest atoms and distances in Å follow each position.
Sites, in units of the cell vectors:
1 Ca 0.0000 0.0000 0.0000  12 Co 3.19
2 Co 0.0000 0.5000 0.5000  2 Tc 2.25
3 Co 0.5000 0.0000 0.5000  2 Tc 2.25
4 Co 0.5000 0.5000 0.0000  2 Tc 2.25
5 Tc 0.5000 0.5000 0.5000  6 Co 2.25

Summary:
Fermi-level density of states   5.17 states/eV per cell
Distance to the lowest polymorph of the same formula   0.0 meV per atom
Formation energy   4.0 eV/f.u.
SG   Pm-3m (221)

=====

Record 7
Here is a relaxed CdRh2 crystal from Alexandria. Energies are from PBE.

Cell lengths 5.2203, 5.2203, 5.2203 Å; angles 60.00, 60.00, 60.00 degrees
Closest atoms and distances in Å follow each position.
Sites, in units of the cell vectors:
1 Cd 0.1250 0.1250 0.1250  12 Rh 3.06, 4 Cd 3.20
2 Cd 0.8750 0.8750 0.8750  12 Rh 3.06, 4 Cd 3.20
3 Rh 0.0000 0.5000 0.5000  6 Rh 2.61
4 Rh 0.5000 0.0000 0.5000  6 Rh 2.61
5 Rh 0.5000 0.5000 0.0000  6 Rh 2.61
6 Rh 0.5000 0.5000 0.5000  6 Rh 2.61

Summary:
Fermi-level density of states   9.93 states/eV per cell
Formation energy   0.2 eV/f.u.
SG   Fd-3m (227)

=====

Record 8
Here is a relaxed RbSiSb crystal from Alexandria. Energies are from PBE.

Cell lengths 7.0999, 7.1690, 7.1699 Å; angles 117.17, 97.26, 114.07 degrees
Closest atoms and distances in Å follow each position.
Sites, in units of the cell vectors:
1 Rb 0.0000 0.0000 0.0000  4 Si 3.65-3.68, 3 Sb 3.76-3.86
2 Rb 0.4162 0.9403 0.4648  4 Si 3.66-3.72, 2 Sb 3.88-3.91
3 Si 0.9984 0.1203 0.5524  1 Si 2.43, 2 Sb 2.66-2.68
4 Si 0.9984 0.4456 0.8778  1 Si 2.43, 2 Sb 2.67-2.68
5 Sb 0.3623 0.5701 0.7804  2 Si 2.66-2.67, 1 Sb 2.86
6 Sb 0.9493 0.4485 0.5029  2 Si 2.68, 1 Sb 2.86

Summary:
Formation energy (no corrections)   -0.07 eV per atom
Fermi-level density of states   0.00 states/eV per cell
SG   P1 (1)

=====

Record 9
Here is a relaxed Ca4AlZn43 crystal from Alexandria. Energies are from PBE.

Cell lengths 8.2612, 8.2612, 15.1226 Å; angles 90.00, 90.00, 130.82 degrees
Closest atoms and distances in Å follow each position.
Sites, in units of the cell vectors:
1 Ca 0.0000 0.0000 0.0000  18 Zn 3.28-3.44
2 Ca 0.0000 0.5000 0.2499  18 Zn 3.28-3.44
3 Ca 0.5000 0.0000 0.7501  18 Zn 3.28-3.44
4 Ca 0.5000 0.5000 0.5000  16 Zn 3.28-3.43, 2 Al 3.44
5 Al 0.0000 0.0000 0.5000  12 Zn 2.82-2.90
6 Zn 0.0000 0.2517 0.6259  9 Zn 2.61-2.78, 1 Al 2.82
7 Zn 0.0000 0.5000 0.7504  12 Zn 2.78-2.91
8 Zn 0.0000 0.7483 0.6259  9 Zn 2.61-2.78, 1 Al 2.82
9 Zn 0.0334 0.8602 0.7918  9 Zn 2.59-2.91
10 Zn 0.0336 0.3599 0.4586  8 Zn 2.60-2.91, 1 Al 2.87
11 Zn 0.1398 0.4665 0.0415  8 Zn 2.59-2.87
12 Zn 0.1398 0.9666 0.2082  9 Zn 2.59-2.91
13 Zn 0.1559 0.2395 0.3359  8 Zn 2.60-2.91, 1 Al 2.90
14 Zn 0.1559 0.7401 0.9140  8 Zn 2.59-2.89
15 Zn 0.2395 0.1559 0.6641  8 Zn 2.60-2.91, 1 Al 2.90
16 Zn 0.2409 0.6564 0.5860  8 Zn 2.60-2.91
17 Zn 0.2503 0.5000 0.8750  10 Zn 2.61-2.80
18 Zn 0.2517 0.0000 0.3741  9 Zn 2.61-2.78, 1 Al 2.82
19 Zn 0.2596 0.3442 0.1638  8 Zn 2.59-2.90
20 Zn 0.2599 0.8441 0.0860  8 Zn 2.59-2.89
21 Zn 0.3442 0.2596 0.8362  8 Zn 2.59-2.90
22 Zn 0.3436 0.7591 0.4140  8 Zn 2.60-2.91
23 Zn 0.3599 0.0336 0.5414  8 Zn 2.60-2.91, 1 Al 2.87
24 Zn 0.3610 0.5342 0.7086  8 Zn 2.60-2.88
25 Zn 0.4658 0.6390 0.2914  8 Zn 2.60-2.88
26 Zn 0.4665 0.1398 0.9585  8 Zn 2.59-2.87
27 Zn 0.5000 0.0000 0.2496  12 Zn 2.78-2.91
28 Zn 0.5000 0.2503 0.1250  10 Zn 2.61-2.80
29 Zn 0.5000 0.5000 0.0000  12 Zn 2.80-2.90
30 Zn 0.5000 0.7497 0.1250  10 Zn 2.61-2.80
31 Zn 0.5335 0.8602 0.9585  8 Zn 2.59-2.87
32 Zn 0.5342 0.3610 0.2914  8 Zn 2.60-2.88
33 Zn 0.6390 0.4658 0.7086  8 Zn 2.60-2.88
34 Zn 0.6401 0.9664 0.5414  8 Zn 2.60-2.91, 1 Al 2.87
35 Zn 0.6564 0.2409 0.4140  8 Zn 2.60-2.91
36 Zn 0.6558 0.7404 0.8362  8 Zn 2.59-2.90
37 Zn 0.7401 0.1559 0.0860  8 Zn 2.59-2.89
38 Zn 0.7404 0.6558 0.1638  8 Zn 2.59-2.90
39 Zn 0.7483 0.0000 0.3741  9 Zn 2.61-2.78, 1 Al 2.82
40 Zn 0.7497 0.5000 0.8750  10 Zn 2.61-2.80
41 Zn 0.7591 0.3436 0.5860  8 Zn 2.60-2.91
42 Zn 0.7605 0.8441 0.6641  8 Zn 2.60-2.91, 1 Al 2.90
43 Zn 0.8441 0.2599 0.9140  8 Zn 2.59-2.89
44 Zn 0.8441 0.7605 0.3359  8 Zn 2.60-2.91, 1 Al 2.90
45 Zn 0.8602 0.0334 0.2082  9 Zn 2.59-2.91
46 Zn 0.8602 0.5335 0.0415  8 Zn 2.59-2.87
47 Zn 0.9664 0.6401 0.4586  8 Zn 2.60-2.91, 1 Al 2.87
48 Zn 0.9666 0.1398 0.7918  9 Zn 2.59-2.91

Summary:
Fermi-level density of states   12.08 states/eV per cell
Formation energy   -7.6 eV/f.u.
SG   C222 (21)

=====

Record 10
Here is a relaxed Li2CuAg3 crystal from Alexandria. Energies are from PBE.

Cell lengths 4.4993, 6.2234, 6.9028 Å; angles 90.00, 104.43, 90.00 degrees
Closest atoms and distances in Å follow each position.
Sites, in units of the cell vectors:
1 Li 0.0000 0.0000 0.0000  8 Ag 2.72-2.75
2 Li 0.0000 0.5000 0.0000  8 Ag 2.70-2.72
3 Li 0.3530 0.0000 0.6686  8 Ag 2.73-2.77, 1 Li 2.95
4 Li 0.6470 0.0000 0.3314  8 Ag 2.73-2.77, 1 Li 2.95
5 Cu 0.3583 0.5000 0.6615  8 Ag 2.71-2.75, 1 Cu 2.83
6 Cu 0.6417 0.5000 0.3385  8 Ag 2.71-2.75, 1 Cu 2.83
7 Ag 0.1449 0.2520 0.3315  5 Li 2.70-2.77, 3 Cu 2.71-2.75, 1 Ag 2.94
8 Ag 0.1449 0.7480 0.3315  5 Li 2.70-2.77, 3 Cu 2.71-2.75, 1 Ag 2.94
9 Ag 0.5000 0.2547 0.0000  6 Li 2.72-2.75, 2 Cu 2.73
10 Ag 0.5000 0.7453 0.0000  6 Li 2.72-2.75, 2 Cu 2.73
11 Ag 0.8551 0.2520 0.6685  5 Li 2.70-2.77, 3 Cu 2.71-2.75, 1 Ag 2.94
12 Ag 0.8551 0.7480 0.6685  5 Li 2.70-2.77, 3 Cu 2.71-2.75, 1 Ag 2.94

Summary:
Fermi-level density of states   3.47 states/eV per cell
Formation energy   -0.7 eV/f.u.
SG   P2/m (10)

=====

Record 11
Here is a relaxed Mg2IrPtO6 crystal from Alexandria. Energies are from PBE.

Cell lengths 5.5476, 5.5476, 4.3233 Å; angles 90.00, 90.00, 90.00 degrees
Closest atoms and distances in Å follow each position.
Sites, in units of the cell vectors:
1 Mg 0.0000 0.5000 0.0000  4 O 2.10
2 Mg 0.5000 0.0000 0.0000  4 O 2.10
3 Ir 0.0000 0.0000 0.6939  5 O 1.84-1.98
4 Pt 0.5000 0.5000 0.7204  6 O 2.05-2.28
5 O 0.0000 0.0000 0.2691  1 Ir 1.84
6 O 0.2419 0.2419 0.8266  1 Ir 1.98, 1 Pt 2.08, 2 Mg 2.10
7 O 0.2419 0.7581 0.8266  1 Ir 1.98, 1 Pt 2.08, 2 Mg 2.10
8 O 0.5000 0.5000 0.2473  2 Pt 2.05-2.28
9 O 0.7581 0.2419 0.8266  1 Ir 1.98, 1 Pt 2.08, 2 Mg 2.10
10 O 0.7581 0.7581 0.8266  1 Ir 1.98, 1 Pt 2.08, 2 Mg 2.10

Summary:
Formation energy (no corrections)   -0.97 eV per atom
Fermi-level density of states   2.20 states/eV per cell
SG   P4mm (99)

=====

Record 12
Here is a relaxed Li2MgUCl8 crystal from Alexandria. Energies are from PBE.

Cell lengths 7.4222, 7.4222, 6.9700 Å; angles 90.00, 90.00, 120.00 degrees
Closest atoms and distances in Å follow each position.
Sites, in units of the cell vectors:
1 Li 0.3333 0.6667 0.3495  1 Cl 2.17
2 Li 0.6667 0.3333 0.6505  1 Cl 2.17
3 Mg 0.0000 0.0000 0.0000  6 Cl 2.51
4 U 0.0000 0.0000 0.5000  6 Cl 2.68
5 Cl 0.1495 0.2991 0.2324  1 Li 2.50, 1 Mg 2.51, 1 U 2.68
6 Cl 0.1495 0.8505 0.2324  1 Li 2.50, 1 Mg 2.51, 1 U 2.68
7 Cl 0.2991 0.1495 0.7676  1 Li 2.50, 1 Mg 2.51, 1 U 2.68
8 Cl 0.3333 0.6667 0.6608  1 Li 2.17
9 Cl 0.6667 0.3333 0.3392  1 Li 2.17
10 Cl 0.7009 0.8505 0.2324  1 Li 2.50, 1 Mg 2.51, 1 U 2.68
11 Cl 0.8505 0.1495 0.7676  1 Li 2.50, 1 Mg 2.51, 1 U 2.68
12 Cl 0.8505 0.7009 0.7676  1 Li 2.50, 1 Mg 2.51, 1 U 2.68

Summary:
Formation energy (no corrections)   -1.55 eV per atom
Fermi-level density of states   8.56 states/eV per cell
SG   P-3m1 (164)